Record 1
Here is Ac2EuLu after structural relaxation from the Alexandria database. Energies are from PBE.

```
Ac2EuLu
1.0
5.548 0.000 0.000
0.000 5.548 0.000
0.000 0.000 5.125
Ac Eu Lu
2 1 1
Direct
0.000 0.500 0.000
0.500 0.000 0.000
0.000 0.000 0.500
0.500 0.500 0.500
```

DFT total energy ... -22.67 eV/cell
M_tot ... 1.86 μB per atom
Distance to the lowest polymorph of the same formula ... 0.000 eV per formula unit
D(E_F) ... 6.5 states/eV/cell

***

Record 2
Here is AcEu2Lu after structural relaxation from the Alexandria database. Energies are from PBE.

```
AcEu2Lu
1.0
0.000 4.259 4.259
4.259 0.000 4.259
4.259 4.259 0.000
Ac Eu Lu
1 2 1
Direct
0.000 0.000 0.000
0.250 0.250 0.250
0.750 0.750 0.750
0.500 0.500 0.500
```

DFT total energy ... -28.61 eV/cell
M_tot ... 3.58 μB per atom
Distance to the lowest polymorph of the same formula ... 0.141 eV per formula unit
D(E_F) ... 4.2 states/eV/cell

***

Record 3
Here is Ac2EuLu after structural relaxation from the Alexandria database. Energies are from PBE.

```
Ac2EuLu
1.0
1.865 1.077 13.433
-1.865 1.077 13.433
0.000 -2.154 13.433
Ac Eu Lu
2 1 1
Direct
0.085 0.085 0.085
0.915 0.915 0.915
0.500 0.500 0.500
0.000 0.000 0.000
```

DFT total energy ... -21.85 eV/cell
M_tot ... 1.86 μB per atom
Distance to the lowest polymorph of the same formula ... 0.816 eV per formula unit
D(E_F) ... 6.9 states/eV/cell

***

Record 4
Here is AcEu2Lu after structural relaxation from the Alexandria database. Energies are from PBE.

```
AcEu2Lu
1.0
3.785 0.000 0.000
0.000 3.785 0.000
0.000 0.000 10.785
Ac Eu Lu
1 2 1
Direct
0.000 0.000 0.000
0.500 0.500 0.268
0.500 0.500 0.732
0.000 0.000 0.500
```

DFT total energy ... -28.76 eV/cell
M_tot ... 3.83 μB per atom
Distance to the lowest polymorph of the same formula ... 0.000 eV per formula unit
D(E_F) ... 4.3 states/eV/cell

***

Record 5
Here is Ac2EuLu after structural relaxation from the Alexandria database. Energies are from PBE.

```
Ac2EuLu
1.0
0.000 4.298 4.298
4.298 0.000 4.298
4.298 4.298 0.000
Ac Eu Lu
2 1 1
Direct
0.250 0.250 0.250
0.750 0.750 0.750
0.000 0.000 0.000
0.500 0.500 0.500
```

DFT total energy ... -22.65 eV/cell
M_tot ... 1.86 μB per atom
Distance to the lowest polymorph of the same formula ... 0.017 eV per formula unit
D(E_F) ... 5.4 states/eV/cell

***

Record 6
Here is AcNdEuLu after structural relaxation from the Alexandria database. Energies are from PBE.

```
AcNdEuLu
1.0
0.000 4.209 4.209
4.209 0.000 4.209
4.209 4.209 0.000
Ac Nd Eu Lu
1 1 1 1
Direct
0.000 0.000 0.000
0.500 0.500 0.500
0.250 0.250 0.250
0.750 0.750 0.750
```

DFT total energy ... -23.20 eV/cell
M_tot ... 1.88 μB per atom
D(E_F) ... 5.9 states/eV/cell

***

Record 7
Here is AcPrEuLu after structural relaxation from the Alexandria database. Energies are from PBE.

```
AcPrEuLu
1.0
0.000 4.224 4.224
4.224 0.000 4.224
4.224 4.224 0.000
Ac Pr Eu Lu
1 1 1 1
Direct
0.000 0.000 0.000
0.250 0.250 0.250
0.750 0.750 0.750
0.500 0.500 0.500
```

DFT total energy ... -23.05 eV/cell
M_tot ... 2.06 μB per atom
D(E_F) ... 6.5 states/eV/cell

***

Record 8
Here is AcEuLuSc after structural relaxation from the Alexandria database. Energies are from PBE.

```
AcEuLuSc
1.0
0.000 4.078 4.078
4.078 0.000 4.078
4.078 4.078 0.000
Ac Eu Lu Sc
1 1 1 1
Direct
0.000 0.000 0.000
0.750 0.750 0.750
0.500 0.500 0.500
0.250 0.250 0.250
```

DFT total energy ... -24.53 eV/cell
M_tot ... 1.90 μB per atom
D(E_F) ... 5.8 states/eV/cell

***

Record 9
Here is AcSmEuLu after structural relaxation from the Alexandria database. Energies are from PBE.

```
AcSmEuLu
1.0
0.000 4.195 4.195
4.195 0.000 4.195
4.195 4.195 0.000
Ac Sm Eu Lu
1 1 1 1
Direct
0.000 0.000 0.000
0.500 0.500 0.500
0.250 0.250 0.250
0.750 0.750 0.750
```

DFT total energy ... -23.11 eV/cell
M_tot ... 1.89 μB per atom
D(E_F) ... 6.0 states/eV/cell

***

Record 10
Here is AcTbEuLu after structural relaxation from the Alexandria database. Energies are from PBE.

```
AcTbEuLu
1.0
0.000 4.176 4.176
4.176 0.000 4.176
4.176 4.176 0.000
Ac Tb Eu Lu
1 1 1 1
Direct
0.000 0.000 0.000
0.500 0.500 0.500
0.250 0.250 0.250
0.750 0.750 0.750
```

DFT total energy ... -22.98 eV/cell
M_tot ... 1.90 μB per atom
D(E_F) ... 6.1 states/eV/cell

***

Record 11
Here is AcEuLuTl after structural relaxation from the Alexandria database. Energies are from PBE.

```
AcEuLuTl
1.0
0.000 4.043 4.043
4.043 0.000 4.043
4.043 4.043 0.000
Ac Eu Lu Tl
1 1 1 1
Direct
0.000 0.000 0.000
0.750 0.750 0.750
0.250 0.250 0.250
0.500 0.500 0.500
```

DFT total energy ... -21.02 eV/cell
M_tot ... 2.06 μB per atom
D(E_F) ... 6.7 states/eV/cell

***

Record 12
Here is AcEuTmLu after structural relaxation from the Alexandria database. Energies are from PBE.

```
AcEuTmLu
1.0
0.000 4.153 4.153
4.153 0.000 4.153
4.153 4.153 0.000
Ac Eu Tm Lu
1 1 1 1
Direct
0.000 0.000 0.000
0.250 0.250 0.250
0.750 0.750 0.750
0.500 0.500 0.500
```

DFT total energy ... -22.74 eV/cell
M_tot ... 1.93 μB per atom
D(E_F) ... 5.2 states/eV/cell